Record 1
Material: TbPu3Pd4
Method: DFT, PBE
State: relaxed

Cell and atoms, written as POSCAR:
```
TbPu3Pd4
1.0
-2.185 -2.481 1.040
1.679 -3.002 -3.635
7.058 -3.601 6.236
Pu Pd Tb
3 4 1
direct
0.500 0.000 0.254
0.500 0.500 0.500
0.500 0.000 0.746
0.000 0.000 0.500
0.000 0.500 0.759
0.000 0.000 0.000
0.000 0.500 0.241
0.500 0.500 0.000
```

Computed properties:
The symmetry is No. 47. The value obtained for the electronic total energy is -9.06 eV per atom. The calculation puts the magnetization at 17.0 μB per formula unit.

Record 2
Material: KOsCl4
Method: DFT, PBE
State: relaxed

Cell and atoms, written as POSCAR:
```
KOsCl4
1.0
4.853 -0.155 -1.652
-0.840 6.341 -3.064
0.058 0.669 9.578
Cl Os K
8 2 2
direct
0.371 0.632 0.762
0.371 0.130 0.762
0.831 0.317 0.633
0.000 0.289 0.000
0.629 0.368 0.238
0.629 0.870 0.238
0.169 0.683 0.367
0.000 0.711 0.000
0.722 0.547 0.095
0.278 0.453 0.905
0.800 0.792 0.585
0.200 0.208 0.415
```

Computed properties:
The symmetry is No. 12. The calculation puts the magnetization at 0.0 μB per formula unit. For the energy relative to the lowest polymorph listed for this composition, the calculation gives 0 kJ/mol of formula units.

Record 3
Material: CsCaCd2Pd
Method: DFT, PBE
State: relaxed

Cell and atoms, written as POSCAR:
```
CsCaCd2Pd
1.0
-1.706 -4.672 2.407
0.210 -2.589 -4.877
5.160 -1.390 0.960
Cd Cs Pd Ca
2 1 1 1
direct
0.500 0.000 0.000
0.000 0.500 0.000
0.500 0.500 0.500
0.000 0.000 0.000
0.000 0.000 0.500
```

Computed properties:
The symmetry is No. 123. The value obtained for the electronic total energy is -2.19 eV per atom. The calculation puts the magnetization at 0.0 μB per formula unit.

Record 4
Material: RbTiHgSb2
Method: DFT, PBE
State: relaxed

Cell and atoms, written as POSCAR:
```
RbTiHgSb2
1.0
-3.865 0.965 -3.532
-2.858 -4.005 2.033
-2.437 3.592 3.650
Hg Rb Ti Sb
1 1 1 2
direct
0.000 0.000 0.500
0.500 0.500 0.500
0.000 0.000 0.000
0.000 0.500 0.000
0.500 0.000 0.000
```

Computed properties:
The symmetry is No. 123. The calculation puts the magnetization at 0.0 μB per formula unit. For the energy relative to the lowest polymorph listed for this composition, the calculation gives 0 kJ/mol of formula units.

Record 5
Material: In2AgPRh
Method: DFT, PBE
State: relaxed

Cell and atoms, written as POSCAR:
```
In2AgPRh
1.0
-0.638 -2.042 -4.625
0.819 -4.173 1.729
-4.973 -0.585 0.945
Rh In Ag P
1 2 1 1
direct
0.500 0.500 0.500
0.500 0.000 0.000
0.000 0.000 0.500
0.000 0.500 0.000
0.000 0.000 0.000
```

Computed properties:
The symmetry is No. 123. The value obtained for the electronic total energy is -3.50 eV per atom. The calculation puts the magnetization at 0.4 μB per formula unit.

Record 6
Material: LiMn2Cd2
Method: DFT, PBE
State: relaxed

Cell and atoms, written as POSCAR:
```
LiMn2Cd2
1.0
3.250 0.000 0.000
0.000 3.250 0.000
1.625 1.625 7.599
Mn Cd Li
2 2 1
direct
0.250 0.750 0.500
0.750 0.250 0.500
0.399 0.399 0.202
0.601 0.601 0.798
0.000 0.000 0.000
```

Computed properties:
The symmetry is No. 139. The calculation puts the magnetization at 0.0 μB per formula unit. For the energy relative to the lowest polymorph listed for this composition, the calculation gives 50 kJ/mol of formula units.

Record 7
Material: Ni2BiB
Method: DFT, PBE
State: relaxed

Cell and atoms, written as POSCAR:
```
Ni2BiB
1.0
-1.026 3.091 2.777
-2.008 3.524 -1.366
-4.097 0.668 1.041
Bi Ni B
1 2 1
direct
0.500 0.500 0.500
0.250 0.250 0.250
0.750 0.750 0.750
0.000 0.000 0.000
```

Computed properties:
The symmetry is No. 225. The calculation puts the magnetization at 0.0 μB per formula unit. For the energy relative to the lowest polymorph listed for this composition, the calculation gives 211 kJ/mol of formula units.

Record 8
Material: BeCr2As
Method: DFT, PBE
State: relaxed

Cell and atoms, written as POSCAR:
```
BeCr2As
1.0
4.502 -0.057 -0.186
1.736 4.155 0.186
-3.016 -2.206 2.519
Cr Be As
2 1 1
direct
0.750 0.250 0.500
0.000 0.000 0.000
0.250 0.750 0.500
0.500 0.500 0.000
```

Computed properties:
The symmetry is No. 119. The calculation puts the magnetization at 0.3 μB per formula unit. For the energy relative to the lowest polymorph listed for this composition, the calculation gives 31 kJ/mol of formula units.

Please write out number 4 again, unchanged.
Material: RbTiHgSb2
Method: DFT, PBE
State: relaxed

Cell and atoms, written as POSCAR:
```
RbTiHgSb2
1.0
-3.865 0.965 -3.532
-2.858 -4.005 2.033
-2.437 3.592 3.650
Hg Rb Ti Sb
1 1 1 2
direct
0.000 0.000 0.500
0.500 0.500 0.500
0.000 0.000 0.000
0.000 0.500 0.000
0.500 0.000 0.000
```

Computed properties:
The symmetry is No. 123. The calculation puts the magnetization at 0.0 μB per formula unit. For the energy relative to the lowest polymorph listed for this composition, the calculation gives 0 kJ/mol of formula units.